ZnFeO2 | the Alexandria database | PBE+U | optimized geometry; SG = No. 2; offset from the most stable computed form = 59 meV/atom; electronic total energy = -44.19 eV for the cell shown
1.0
5.379 -0.265 0.094
-0.583 5.343 0.641
0.921 -0.340 2.908
O Zn Fe
4 2 2
Direct
0.253 0.770 0.520
0.753 0.515 0.286
0.253 0.270 0.020
0.752 0.025 0.754
0.002 0.393 0.651
0.503 0.147 0.390
0.002 0.897 0.139
0.502 0.643 0.901